The following is a GGA-PBE calculation of an optimized crystal structure of CePm2DyBi5, from Alexandria via LeMat-Bulk.

Results
* energy of formation from the pure elements: -0.034 eV/atom
* E: -4.42 eV/atom
* crystal system: tetragonal
* calculated density: 7.38 Mg/m³

a = 5.5661 Å, b = 5.5661 Å, c = 11.8886 Å
α = 90.00°, β = 90.00°, γ = 90.00°
Positions (direct):
Ce1 0.0000 0.0000 0.0000
Pm1 0.5000 0.5000 0.2249
Pm2 0.5000 0.5000 0.7751
Dy1 0.0000 0.0000 0.5000
Bi1 0.0000 0.0000 0.2548
Bi2 0.0000 0.0000 0.7452
Bi3 0.0000 0.5000 0.0000
Bi4 0.5000 0.0000 0.0000
Bi5 0.5000 0.5000 0.5000

---

The following is a GGA-PBE calculation of an optimized crystal structure of TcAu, from Alexandria via LeMat-Bulk.

Results
* energy of formation from the pure elements: 0.080 eV/atom
* E: -6.74 eV/atom
* crystal system: trigonal
* calculated density: 15.03 Mg/m³
* relative energy among the computed polymorphs: 0 meV/atom

a = 2.8329 Å, b = 2.8329 Å, c = 9.3770 Å
α = 90.00°, β = 90.00°, γ = 120.00°
Positions (direct):
Tc1 0.3333 0.6667 0.3934
Tc2 0.6667 0.3333 0.6066
Au1 0.3333 0.6667 0.8628
Au2 0.6667 0.3333 0.1372

---

The following is a GGA-PBE calculation of an optimized crystal structure of CeEuAg, from Alexandria via LeMat-Bulk.

Results
* energy of formation from the pure elements: -0.019 eV/atom
* E: -6.37 eV/atom
* crystal system: tetragonal
* calculated density: 7.34 Mg/m³
* relative energy among the computed polymorphs: 0 meV/atom

a = 6.9258 Å, b = 6.9258 Å, c = 6.9258 Å
α = 148.47°, β = 148.47°, γ = 45.19°
Positions (direct):
Ce1 0.0000 0.0000 0.0000
Eu1 0.2901 0.2901 0.0000
Ag1 0.6375 0.6375 0.0000

---

The following is a GGA-PBE calculation of an optimized crystal structure of AgP2Pt5, from Alexandria via LeMat-Bulk.

Results
* energy of formation from the pure elements: -0.270 eV/atom
* E: -5.75 eV/atom
* crystal system: orthorhombic
* calculated density: 14.69 Mg/m³

a = 6.4265 Å, b = 6.4265 Å, c = 6.4265 Å
α = 146.80°, β = 114.88°, γ = 75.08°
Positions (direct):
Ag1 0.0000 0.0000 0.0000
P1 0.2721 0.7721 0.5000
P2 0.7279 0.2279 0.5000
Pt1 0.1235 0.3585 0.7650
Pt2 0.4065 0.6415 0.7650
Pt3 0.5000 0.0000 0.5000
Pt4 0.5935 0.3585 0.2350
Pt5 0.8765 0.6415 0.2350

---

The following is a GGA-PBE calculation of an optimized crystal structure of TbErHgAu, from Alexandria via LeMat-Bulk.

Results
* energy of formation from the pure elements: -0.674 eV/atom
* E: -3.87 eV/atom
* crystal system: tetragonal
* calculated density: 12.33 Mg/m³
* relative energy among the computed polymorphs: 0 meV/atom

a = 3.6626 Å, b = 3.6626 Å, c = 7.2663 Å
α = 90.00°, β = 90.00°, γ = 90.00°
Positions (direct):
Tb1 0.0000 0.0000 0.0000
Er1 0.0000 0.0000 0.5220
Hg1 0.5000 0.5000 0.2660
Au1 0.5000 0.5000 0.7528

---

The following is a GGA-PBE calculation of an optimized crystal structure of LaScPCl, from Alexandria via LeMat-Bulk.

Results
* uncorrected formation energy: -1601 meV per atom
* E: -6.23 eV/atom
* crystal system: trigonal
* calculated density: 3.89 Mg/m³

a = 13.8588 Å, b = 13.8588 Å, c = 13.8588 Å
α = 17.66°, β = 17.66°, γ = 17.66°
Positions (direct):
La1 0.0863 0.0863 0.0863
La2 0.9137 0.9137 0.9137
Sc1 0.3105 0.3105 0.3105
Sc2 0.6895 0.6895 0.6895
P1 0.3784 0.3784 0.3784
P2 0.6216 0.6216 0.6216
Cl1 0.2061 0.2061 0.2061
Cl2 0.7939 0.7939 0.7939

---

The following is a GGA-PBE calculation of an optimized crystal structure of AcLa7Dy4, from Alexandria via LeMat-Bulk.

Results
* energy of formation from the pure elements: 0.017 eV/atom
* E: -4.73 eV/atom
* crystal system: triclinic
* calculated density: 7.15 Mg/m³

a = 6.4843 Å, b = 7.4327 Å, c = 9.1691 Å
α = 90.10°, β = 103.49°, γ = 90.02°
Positions (direct):
Ac1 0.0000 0.0000 0.0000
La1 0.0000 0.5000 0.0000
La2 0.2256 0.9988 0.6621
La3 0.2848 0.7458 0.3373
La4 0.4982 0.7429 0.9969
La5 0.5018 0.2571 0.0031
La6 0.7152 0.2542 0.6627
La7 0.7744 0.0012 0.3379
Dy1 0.2157 0.4990 0.6645
Dy2 0.2786 0.2595 0.3336
Dy3 0.7214 0.7405 0.6664
Dy4 0.7843 0.5010 0.3355

---

The following is a GGA-PBE calculation of an optimized crystal structure of SrAc3Ce2Se6, from Alexandria via LeMat-Bulk.

Results
* uncorrected formation energy: -1850 meV per atom
* E: -5.75 eV/atom
* crystal system: monoclinic
* calculated density: 7.10 Mg/m³

a = 7.5779 Å, b = 7.5779 Å, c = 7.5960 Å
α = 99.58°, β = 99.58°, γ = 120.05°
Positions (direct):
Sr1 0.0000 0.0000 0.0000
Ac1 0.1647 0.8353 0.5000
Ac2 0.5000 0.5000 0.5000
Ac3 0.8353 0.1647 0.5000
Ce1 0.3333 0.6667 0.0000
Ce2 0.6667 0.3333 0.0000
Se1 0.0793 0.4170 0.2378
Se2 0.2596 0.2596 0.7657
Se3 0.4170 0.0793 0.2378
Se4 0.5830 0.9207 0.7622
Se5 0.7404 0.7404 0.2343
Se6 0.9207 0.5830 0.7622